# WSe

A relaxed WSe crystal (PBE-GGA, the Alexandria database).

Lattice parameters (Å, degrees): 4.4126 4.4126 4.4126 40.49 40.49 40.49
Fractional coordinates of all 2 atoms:
W 0.0000 0.0000 0.0000
Se 0.5000 0.5000 0.5000

Summary:
* SG: No. 166
* uncorrected formation energy: 0.91 eV per formula unit
* total moment: 0.0 μB/cell
* polymorph energy (0 for the lowest one): 622.1 meV per atom

***

# W3Se

A relaxed W3Se crystal (PBE-GGA, the Alexandria database).

Lattice parameters (Å, degrees): 5.3549 5.3549 5.3549 146.13 130.83 61.04
Fractional coordinates of all 4 atoms:
W 0.0000 0.0000 0.0000
W 0.2553 0.7553 0.5000
W 0.7447 0.2447 0.5000
Se 0.5000 0.5000 0.0000

Summary:
* SG: No. 71
* uncorrected formation energy: 2.05 eV per formula unit
* total moment: 0.0 μB/cell
* polymorph energy (0 for the lowest one): 116.0 meV per atom

***

# WSe3

A relaxed WSe3 crystal (PBE-GGA, the Alexandria database).

Lattice parameters (Å, degrees): 6.7087 6.7087 6.7087 153.71 66.06 120.62
Fractional coordinates of all 4 atoms:
W 0.0000 0.0000 0.0000
Se 0.3044 0.6510 0.6535
Se 0.6989 0.1989 0.5000
Se 0.9975 0.6510 0.3465

Summary:
* SG: No. 44
* uncorrected formation energy: -0.91 eV per formula unit
* total moment: 0.0 μB/cell
* polymorph energy (0 for the lowest one): 22.1 meV per atom

***

# W3Se2

A relaxed W3Se2 crystal (PBE-GGA, the Alexandria database).

Lattice parameters (Å, degrees): 4.1028 4.1028 6.1347 90.00 90.00 120.00
Fractional coordinates of all 5 atoms:
W 0.0000 0.0000 0.0000
W 0.3333 0.6667 0.4033
W 0.6667 0.3333 0.5967
Se 0.3333 0.6667 0.8218
Se 0.6667 0.3333 0.1782

Summary:
* SG: No. 164
* uncorrected formation energy: 4.68 eV per formula unit
* total moment: 0.0 μB/cell
* polymorph energy (0 for the lowest one): 547.7 meV per atom

***

Among the records above, which one has the highest uncorrected formation energy?
W3Se2